# 1
Density functional theory data (PBE) for an optimized crystal structure of As4PIr.

## Properties
- D(E_F): 0.545 states/eV/atom
- Electronic total energy: -26.72 eV/f.u.
- Size of the total moment: 0.0 μB/cell

Unit cell a=7.627 b=7.627 c=7.627 alpha=90.00 beta=90.00 gamma=90.00
Space group F-43m (No. 216)
Asymmetric unit:
As  0.124  0.124  0.376 [16 per cell]
P  0.250  0.250  0.750 [4 per cell]
Ir  0.000  0.000  0.000 [4 per cell]

=====

# 2
Density functional theory data (PBE) for an optimized crystal structure of AgBi3.

## Properties
- D(E_F): 0.394 states/eV/atom
- Energy above the most stable polymorph in this dataset: 61 meV/atom
- Size of the total moment: 0.0 μB/cell

Unit cell a=5.165 b=5.165 c=8.657 alpha=90.00 beta=90.00 gamma=90.00
Space group I4/mmm (No. 139)
Asymmetric unit:
Ag  0.000  0.000  0.000 [2 per cell]
Bi  0.000  0.000  0.500 [2 per cell]
Bi  0.000  0.500  0.250 [4 per cell]

=====

# 3
Density functional theory data (PBE) for an optimized crystal structure of KY2GaRh.

## Properties
- D(E_F): 1.056 states/eV/atom
- Electronic total energy: -18.19 eV/f.u.
- Size of the total moment: 0.0 μB/cell

Unit cell a=5.295 b=5.295 c=4.683 alpha=90.00 beta=90.00 gamma=90.00
Space group P4/mmm (No. 123)
Asymmetric unit:
K  0.000  0.000  0.000 [1 per cell]
Y  0.000  0.500  0.000 [2 per cell]
Ga  0.500  0.500  0.500 [1 per cell]
Rh  0.000  0.000  0.500 [1 per cell]